Material: MnRhO2
Method: DFT, PBE with a Hubbard U
State: relaxed

Output
Its total magnetic moment is 0.813 μB/atom. The energy above the lowest structure with this stoichiometry is 0 meV/atom. The density of states at the Fermi level is 2.27 states/eV/f.u. Its electronic total energy is -7.20 eV/atom.

Unit cell a=2.9630 b=2.9630 c=18.2856 alpha=90.00 beta=90.00 gamma=120.00
Space group R-3m (No. 166, hexagonal axes)
Symmetry-distinct sites (fractional):
Mn (0.0000, 0.0000, 0.0000) [3 per cell]
Rh (0.0000, 0.0000, 0.5000) [3 per cell]
O (0.0000, 0.0000, 0.3926) [6 per cell]